a | VASP calculation (PBE-GGA) on a relaxed Ba3Hg4 crystal.

Output
As for the crystal system: tetragonal. Its space group is I4/mmm, No. 139. The value obtained for the volume is 37.98 Å³/atom.

Unit cell a=14.1875 b=14.1875 c=14.1875 alpha=162.23 beta=162.23 gamma=25.23
Atoms (fractional coordinates):
Ba 0.0000 0.0000 0.0000
Ba 0.3145 0.3145 0.0000
Ba 0.6855 0.6855 0.0000
Hg 0.1281 0.1281 0.0000
Hg 0.4364 0.4364 0.0000
Hg 0.5636 0.5636 0.0000
Hg 0.8719 0.8719 0.0000

---

b | VASP calculation (PBE-GGA) on a relaxed Ba3Hg4 crystal.

Output
As for the crystal system: hexagonal. Its space group is P6/mmm, No. 191. The value obtained for the volume is 41.34 Å³/atom.

Unit cell a=7.6759 b=7.6759 c=5.6707 alpha=90.00 beta=90.00 gamma=120.00
Atoms (fractional coordinates):
Ba 0.0000 0.5000 0.0000
Ba 0.5000 0.0000 0.0000
Ba 0.5000 0.5000 0.0000
Hg 0.0000 0.0000 0.2536
Hg 0.0000 0.0000 0.7464
Hg 0.3333 0.6667 0.5000
Hg 0.6667 0.3333 0.5000

---

a wins, 246 meV per atom ahead of the next structure.

---

a | VASP calculation (PBE-GGA) on a relaxed BaHg2I crystal.

Output
As for the crystal system: tetragonal. Its space group is P4/mmm, No. 123. The value obtained for the volume is 35.81 Å³/atom.

Unit cell a=4.9876 b=4.9876 c=5.7579 alpha=90.00 beta=90.00 gamma=90.00
Atoms (fractional coordinates):
Ba 0.0000 0.0000 0.0000
Hg 0.0000 0.5000 0.5000
Hg 0.5000 0.0000 0.5000
I 0.5000 0.5000 0.0000

---

b | VASP calculation (PBE-GGA) on a relaxed BaHg2I crystal.

Output
As for the crystal system: tetragonal. Its space group is I4/mmm, No. 139. The value obtained for the volume is 36.26 Å³/atom.

Unit cell a=6.9860 b=6.9860 c=6.9860 alpha=139.05 beta=139.05 gamma=59.30
Atoms (fractional coordinates):
Ba 0.0000 0.0000 0.0000
Hg 0.2500 0.7500 0.5000
Hg 0.7500 0.2500 0.5000
I 0.5000 0.5000 0.0000

---

a wins, 24 meV per atom ahead of the next structure.

---

a | VASP calculation (PBE-GGA) on a relaxed BaHgI2 crystal.

Output
As for the crystal system: cubic. Its space group is Fm-3m, No. 225. The value obtained for the volume is 39.58 Å³/atom.

Unit cell a=6.0725 b=6.0725 c=6.0725 alpha=60.00 beta=60.00 gamma=60.00
Atoms (fractional coordinates):
Ba 0.0000 0.0000 0.0000
Hg 0.5000 0.5000 0.5000
I 0.2500 0.2500 0.2500
I 0.7500 0.7500 0.7500

---

b | VASP calculation (PBE-GGA) on a relaxed BaHgI2 crystal.

Output
As for the crystal system: tetragonal. Its space group is P4/mmm, No. 123. The value obtained for the volume is 39.24 Å³/atom.

Unit cell a=5.7743 b=5.7743 c=4.7076 alpha=90.00 beta=90.00 gamma=90.00
Atoms (fractional coordinates):
Ba 0.0000 0.0000 0.0000
Hg 0.5000 0.5000 0.0000
I 0.0000 0.5000 0.5000
I 0.5000 0.0000 0.5000

---

a wins, 75 meV per atom ahead of the next structure.

---

a | VASP calculation (PBE-GGA) on a relaxed BaHgI2 crystal.

Output
As for the crystal system: trigonal. Its space group is R-3m, No. 166. The value obtained for the volume is 57.54 Å³/atom.

Unit cell a=10.2525 b=10.2525 c=10.2525 alpha=29.42 beta=29.42 gamma=29.42
Atoms (fractional coordinates):
Ba 0.0000 0.0000 0.0000
Hg 0.5000 0.5000 0.5000
I 0.2730 0.2730 0.2730
I 0.7270 0.7270 0.7270

---

b | VASP calculation (PBE-GGA) on a relaxed BaHgI2 crystal.

Output
As for the crystal system: tetragonal. Its space group is P4/mmm, No. 123. The value obtained for the volume is 46.25 Å³/atom.

Unit cell a=4.3481 b=4.3481 c=9.7860 alpha=90.00 beta=90.00 gamma=90.00
Atoms (fractional coordinates):
Ba 0.0000 0.0000 0.0000
Hg 0.0000 0.0000 0.5000
I 0.5000 0.5000 0.1988
I 0.5000 0.5000 0.8012

---

a wins, 65 meV per atom ahead of the next structure.